This record from Alexandria describes a relaxed structure of Hg2SbRh. The functional is PBE.

Summary:
Size of the total moment ... 0.00 μB/f.u.
Total DFT energy (no corrections) ... -2.834 eV/atom
Space-group type ... C2/m, No. 12
Energy relative to the elements, uncorrected ... 0.18 eV/atom
Crystal system ... monoclinic

a = 6.181 Å, b = 6.181 Å, c = 3.365 Å
α = 75.75°, β = 75.75°, γ = 126.63°
Element x y z (fractional)
Sb 0.000 0.000 0.000
Hg 0.000 0.500 0.000
Hg 0.500 0.000 0.000
Rh 0.500 0.500 0.000

***

This record from Alexandria describes a relaxed structure of PmHoSCl. The functional is PBE.

Summary:
Size of the total moment ... 0.00 μB/f.u.
Total DFT energy (no corrections) ... -5.418 eV/atom
Space-group type ... Cm, No. 8
Energy relative to the elements, uncorrected ... -1.59 eV/atom
Crystal system ... monoclinic

a = 3.825 Å, b = 3.827 Å, c = 7.720 Å
α = 90.00°, β = 104.25°, γ = 120.03°
Element x y z (fractional)
S 0.126 0.961 0.102
Ho 0.327 0.562 0.904
Pm 0.939 0.367 0.322
Cl 0.486 0.141 0.641

***

This record from Alexandria describes a relaxed structure of TlCr2Si. The functional is PBE.

Summary:
Size of the total moment ... 4.71 μB/f.u.
Total DFT energy (no corrections) ... -6.385 eV/atom
Space-group type ... P4/mmm, No. 123
Energy relative to the elements, uncorrected ... 0.37 eV/atom
Crystal system ... tetragonal

a = 2.923 Å, b = 2.923 Å, c = 7.303 Å
α = 90.00°, β = 90.00°, γ = 89.93°
Element x y z (fractional)
Cr 0.000 0.000 0.050
Cr 0.000 0.000 0.450
Tl 0.500 0.500 0.750
Si 0.500 0.500 0.250

***

This record from Alexandria describes a relaxed structure of Li2ZrTe6Pb3. The functional is PBE.

Summary:
Size of the total moment ... 0.00 μB/f.u.
Total DFT energy (no corrections) ... -4.162 eV/atom
Space-group type ... C2/m, No. 12
Energy relative to the elements, uncorrected ... -0.63 eV/atom
Crystal system ... monoclinic

a = 7.641 Å, b = 7.641 Å, c = 7.732 Å
α = 99.38°, β = 99.38°, γ = 119.87°
Element x y z (fractional)
Te 0.753 0.753 0.227
Te 0.247 0.247 0.773
Te 0.075 0.396 0.220
Te 0.925 0.604 0.780
Te 0.604 0.925 0.780
Te 0.396 0.075 0.220
Zr 0.000 0.000 0.000
Pb 0.500 0.500 0.500
Pb 0.163 0.837 0.500
Pb 0.837 0.163 0.500
Li 0.328 0.672 0.000
Li 0.672 0.328 0.000

***

This record from Alexandria describes a relaxed structure of ReBSbI2. The functional is PBE.

Summary:
Size of the total moment ... 1.39 μB/f.u.
Total DFT energy (no corrections) ... -3.632 eV/atom
Space-group type ... P4/mmm, No. 123
Offset from the most stable computed form ... 0.000 eV per atom
Energy relative to the elements, uncorrected ... 1.64 eV/atom
Crystal system ... tetragonal

a = 5.607 Å, b = 5.607 Å, c = 5.092 Å
α = 90.00°, β = 90.00°, γ = 90.00°
Element x y z (fractional)
I 0.000 0.500 0.000
I 0.500 0.000 0.000
B 0.500 0.500 0.500
Re 0.000 0.000 0.000
Sb 0.000 0.000 0.500

***

This record from Alexandria describes a relaxed structure of SrIn4NiPd2. The functional is PBE.

Summary:
Size of the total moment ... 0.00 μB/f.u.
Total DFT energy (no corrections) ... -3.997 eV/atom
Space-group type ... R-3m, No. 166
ΔH_f (0 K) ... -0.40 eV per atom
Crystal system ... trigonal

a = 4.566 Å, b = 4.566 Å, c = 10.219 Å
α = 77.09°, β = 77.09°, γ = 60.00°
Element x y z (fractional)
Pd 0.232 0.232 0.305
Pd 0.768 0.768 0.695
Ni 0.500 0.500 0.500
In 0.864 0.864 0.408
In 0.136 0.136 0.592
In 0.406 0.406 0.782
In 0.594 0.594 0.218
Sr 0.000 0.000 0.000

***

This record from Alexandria describes a relaxed structure of PaMn4Cu3S12. The functional is PBE.

Summary:
Size of the total moment ... 11.97 μB/f.u.
Total DFT energy (no corrections) ... -5.972 eV/atom
Space-group type ... Im-3, No. 204
Energy relative to the elements, uncorrected ... -0.57 eV/atom
Crystal system ... cubic

a = 7.594 Å, b = 7.594 Å, c = 7.594 Å
α = 109.47°, β = 109.47°, γ = 109.47°
Element x y z (fractional)
S 0.298 0.833 0.131
S 0.833 0.535 0.702
S 0.702 0.833 0.535
S 0.869 0.702 0.167
S 0.702 0.167 0.869
S 0.167 0.869 0.702
S 0.298 0.167 0.465
S 0.131 0.298 0.833
S 0.833 0.131 0.298
S 0.167 0.465 0.298
S 0.465 0.298 0.167
S 0.535 0.702 0.833
Mn 0.500 0.000 0.000
Mn 0.000 0.500 0.000
Mn 0.000 0.000 0.500
Mn 0.500 0.500 0.500
Cu 0.500 0.000 0.500
Cu 0.000 0.500 0.500
Cu 0.500 0.500 0.000
Pa 0.000 0.000 0.000

***

This record from Alexandria describes a relaxed structure of La3NiSn3. The functional is PBE.

Summary:
Size of the total moment ... 0.00 μB/f.u.
Total DFT energy (no corrections) ... -5.368 eV/atom
Space-group type ... C2/m, No. 12
ΔH_f (0 K) ... -0.72 eV per atom
Crystal system ... monoclinic

a = 4.660 Å, b = 6.289 Å, c = 14.764 Å
α = 85.21°, β = 80.92°, γ = 68.25°
Element x y z (fractional)
Sn 0.157 0.223 0.462
Sn 0.953 0.850 0.243
Sn 0.127 0.824 0.923
Sn 0.843 0.777 0.538
Sn 0.873 0.176 0.077
Sn 0.047 0.150 0.757
La 0.249 0.264 0.237
La 0.406 0.269 0.919
La 0.594 0.731 0.081
La 0.525 0.335 0.615
La 0.751 0.736 0.763
La 0.475 0.665 0.385
Ni 0.751 0.105 0.392
Ni 0.249 0.895 0.608